[1]
First-principles (GGA-PBE) data for a relaxed structure of PaCo3B3, as listed in the Alexandria database.

The space group is P6_3/m (No. 176) and the conventional cell measures 7.6909, 7.6909 and 3.2754 Å, with angles of 90.00, 90.00 and 120.00 degrees. The inequivalent atoms are Pa at (0.3333, 0.6667, 0.2500), Co at (0.0856, 0.3446, 0.7500) and B at (0.0406, 0.6046, 0.7500).

The offset from the most stable computed form comes out at 0.000 eV per formula unit. The value obtained for the density of states at the Fermi level is 8.90 states/eV/cell. The value obtained for the volume is 12.0 Å³/atom. The density comes out at 8.715 g cm⁻³. The formation energy comes out at -0.91 eV per formula unit.

---

[2]
First-principles (GGA-PBE) data for a relaxed structure of PaCo4B4, as listed in the Alexandria database.

The space group is P4_2/nmc (No. 137, origin choice 2) and the conventional cell measures 5.029, 5.029 and 7.022 Å, with angles of 90.00, 90.00 and 90.00 degrees. The inequivalent atoms are Pa at (0.250, 0.750, 0.250), Co at (0.001, 0.250, 0.112) and B at (0.077, 0.250, 0.409).

The offset from the most stable computed form comes out at 0.000 eV per formula unit. The value obtained for the density of states at the Fermi level is 11.32 states/eV/cell. The value obtained for the volume is 9.9 Å³/atom. The density comes out at 9.538 g cm⁻³. The formation energy comes out at -4.63 eV per formula unit.

---

[3]
First-principles (GGA-PBE) data for a relaxed structure of Pa2Co5B5, as listed in the Alexandria database.

The space group is Pmmm (No. 47) and the conventional cell measures 3.341, 4.679 and 8.448 Å, with angles of 90.00, 90.00 and 90.00 degrees. The inequivalent atoms are Pa at (0.000, 0.000, 0.000), Pa at (0.000, 0.500, 0.500), Co at (0.000, 0.000, 0.278), Co at (0.000, 0.500, 0.148), Co at (0.500, 0.000, 0.500), B at (0.500, 0.306, 0.279) and B at (0.500, 0.500, 0.000).

The value obtained for the density of states at the Fermi level is 8.28 states/eV/cell. The value obtained for the volume is 11.0 Å³/atom. The density comes out at 10.192 g cm⁻³. The formation energy comes out at -3.06 eV per formula unit.

---

[4]
First-principles (GGA-PBE) data for a relaxed structure of PaCo6B2, as listed in the Alexandria database.

The space group is Fd-3m (No. 227, origin choice 2) and the conventional cell measures 9.656, 9.656 and 9.656 Å, with angles of 90.00, 90.00 and 90.00 degrees. The inequivalent atoms are Pa at (0.125, 0.125, 0.125), Co at (0.095, 0.375, 0.875) and B at (0.000, 0.000, 0.500).

The value obtained for the density of states at the Fermi level is 103.09 states/eV/cell. The value obtained for the volume is 12.5 Å³/atom. The density comes out at 8.945 g cm⁻³. The formation energy comes out at 0.25 eV per formula unit.

---

> density of number 2 (PaCo4B4)?

9.538 g cm⁻³